Arrangement A

# SrPPbO2 PBE-GGA optimized geometry
data_SrPPbO2
_space_group_name_H-M_alt 'P 1'
_space_group_IT_number 1
_cell_length_a 4.483
_cell_length_b 4.483
_cell_length_c 6.076
_cell_angle_alpha 90.00
_cell_angle_beta 90.00
_cell_angle_gamma 90.00
loop_
_space_group_symop_operation_xyz
'x,y,z'
loop_
_atom_site_label
_atom_site_fract_x
_atom_site_fract_y
_atom_site_fract_z
Sr1 0.000 0.000 0.000
P1 0.000 0.000 0.500
Pb1 0.500 0.500 0.500
O1 0.000 0.500 0.000
O2 0.500 0.000 0.000
# - Calculated density: 4.9 g cm⁻³
# - Fermi-level density of states: 0.818 states/eV/atom
# - Magnetization: 2.51 μB per cell

Arrangement B

# SrPPbO2 PBE-GGA optimized geometry
data_SrPPbO2
_space_group_name_H-M_alt 'P 1'
_space_group_IT_number 1
_cell_length_a 4.424
_cell_length_b 4.424
_cell_length_c 5.204
_cell_angle_alpha 90.00
_cell_angle_beta 90.00
_cell_angle_gamma 90.00
loop_
_space_group_symop_operation_xyz
'x,y,z'
loop_
_atom_site_label
_atom_site_fract_x
_atom_site_fract_y
_atom_site_fract_z
Sr1 0.000 0.000 0.000
P1 0.500 0.500 0.000
Pb1 0.500 0.500 0.500
O1 0.000 0.500 0.500
O2 0.500 0.000 0.500
# - Calculated density: 5.8 g cm⁻³
# - Fermi-level density of states: 0.977 states/eV/atom
# - Magnetization: 0.93 μB per cell

Energies relative to the most stable structure are arrangement A 476; arrangement B 0, reported in meV per atom.

Arrangement A

# TaPPbO2 PBE-GGA optimized geometry
data_TaPPbO2
_space_group_name_H-M_alt 'P 1'
_space_group_IT_number 1
_cell_length_a 4.029
_cell_length_b 4.029
_cell_length_c 5.156
_cell_angle_alpha 90.00
_cell_angle_beta 90.00
_cell_angle_gamma 90.00
loop_
_space_group_symop_operation_xyz
'x,y,z'
loop_
_atom_site_label
_atom_site_fract_x
_atom_site_fract_y
_atom_site_fract_z
Ta1 0.000 0.000 0.000
P1 0.000 0.000 0.500
Pb1 0.500 0.500 0.500
O1 0.000 0.500 0.000
O2 0.500 0.000 0.000
# - Calculated density: 8.9 g cm⁻³
# - Fermi-level density of states: 0.198 states/eV/atom
# - Magnetization: 0.00 μB per cell

Arrangement B

# TaPPbO2 PBE-GGA optimized geometry
data_TaPPbO2
_space_group_name_H-M_alt 'P 1'
_space_group_IT_number 1
_cell_length_a 4.037
_cell_length_b 4.037
_cell_length_c 5.635
_cell_angle_alpha 90.00
_cell_angle_beta 90.00
_cell_angle_gamma 90.00
loop_
_space_group_symop_operation_xyz
'x,y,z'
loop_
_atom_site_label
_atom_site_fract_x
_atom_site_fract_y
_atom_site_fract_z
Ta1 0.000 0.000 0.000
P1 0.500 0.500 0.000
Pb1 0.500 0.500 0.500
O1 0.000 0.500 0.500
O2 0.500 0.000 0.500
# - Calculated density: 8.2 g cm⁻³
# - Fermi-level density of states: 0.752 states/eV/atom
# - Magnetization: 1.68 μB per cell

Energies relative to the most stable structure are arrangement A 0; arrangement B 1953, reported in meV per atom.